A geometry-optimized K5Sc3 structure. Source: Alexandria, functional PBE-GGA.

Lattice parameters (Å, degrees): 11.9972 11.9972 6.3783 90.00 90.00 120.00
Space group P6_3/mcm (No. 193)
Asymmetric unit:
K (0.0000, 0.2405, 0.2500)
K (0.3333, 0.6667, 0.0000)
Sc (0.0000, 0.4470, 0.7500)

Values from the calculation:
* raw total energy: -36.71 eV/cell
* ΔH_f (0 K): 766 meV per atom
* M_tot: 4.75 μB per formula unit